The following is a DFT calculation (PBE-GGA) of a relaxed structure of SiTc2P.

As for the energy above the most stable polymorph in this dataset: 0.872 eV per atom. The uncorrected formation energy comes out at 0.369 eV per atom. The crystal system is tetragonal.

Geometry as CIF:
```
data_SiTc2P
_chemical_formula_sum 'Si2 Tc4 P2'
_cell_length_a 6.533
_cell_length_b 6.533
_cell_length_c 6.533
_cell_angle_alpha 131.49
_cell_angle_beta 131.49
_cell_angle_gamma 71.03
_space_group_name_H-M_alt 'P 1'
_space_group_IT_number 1
loop_
_space_group_symop_operation_xyz
'x,y,z'
loop_
_atom_site_label
_atom_site_fract_x
_atom_site_fract_y
_atom_site_fract_z
_atom_site_occupancy
Si1 0.000 0.000 0.000 1
Si2 0.750 0.250 0.500 1
Tc1 0.139 0.625 0.014 1
Tc2 0.375 0.389 0.514 1
Tc3 0.611 0.125 0.986 1
Tc4 0.875 0.861 0.486 1
P1 0.250 0.750 0.500 1
P2 0.500 0.500 0.000 1
```

***

The following is a DFT calculation (PBE-GGA) of a relaxed structure of CrHIr2W.

As for the energy above the most stable polymorph in this dataset: 0.093 eV per atom. The crystal system is tetragonal.

Geometry as CIF:
```
data_CrHIr2W
_chemical_formula_sum 'Cr1 H1 Ir2 W1'
_cell_length_a 3.867
_cell_length_b 3.867
_cell_length_c 4.002
_cell_angle_alpha 90.00
_cell_angle_beta 90.00
_cell_angle_gamma 90.00
_space_group_name_H-M_alt 'P 1'
_space_group_IT_number 1
loop_
_space_group_symop_operation_xyz
'x,y,z'
loop_
_atom_site_label
_atom_site_fract_x
_atom_site_fract_y
_atom_site_fract_z
_atom_site_occupancy
Cr1 0.000 0.000 0.000 1
H1 0.500 0.500 0.500 1
Ir1 0.000 0.500 0.500 1
Ir2 0.500 0.000 0.500 1
W1 0.500 0.500 0.000 1
```

***

The following is a DFT calculation (PBE-GGA) of a relaxed structure of ZnGaPdF6.

The uncorrected formation energy comes out at -1.982 eV per atom. The crystal system is trigonal.

Geometry as CIF:
```
data_ZnGaPdF6
_chemical_formula_sum 'Zn2 Ga2 Pd2 F12'
_cell_length_a 5.358
_cell_length_b 5.358
_cell_length_c 10.111
_cell_angle_alpha 90.00
_cell_angle_beta 90.00
_cell_angle_gamma 120.00
_space_group_name_H-M_alt 'P 1'
_space_group_IT_number 1
loop_
_space_group_symop_operation_xyz
'x,y,z'
loop_
_atom_site_label
_atom_site_fract_x
_atom_site_fract_y
_atom_site_fract_z
_atom_site_occupancy
Zn1 0.333 0.667 0.250 1
Zn2 0.667 0.333 0.750 1
Ga1 0.333 0.667 0.750 1
Ga2 0.667 0.333 0.250 1
Pd1 0.000 0.000 0.000 1
Pd2 0.000 0.000 0.500 1
F1 0.019 0.380 0.644 1
F2 0.019 0.639 0.856 1
F3 0.361 0.380 0.856 1
F4 0.361 0.981 0.644 1
F5 0.380 0.019 0.144 1
F6 0.380 0.361 0.356 1
F7 0.620 0.639 0.644 1
F8 0.620 0.981 0.856 1
F9 0.639 0.019 0.356 1
F10 0.639 0.620 0.144 1
F11 0.981 0.361 0.144 1
F12 0.981 0.620 0.356 1
```

***

Summary of volume in Å³/cell
153 60 251
(order as listed above)
Summary of E_tot in eV per atom
-7.522 -8.741 -4.285
(order as listed above)